--- 1 ---
PBEsol TaCoPb2, relaxed; SG = Cmmm (65)
1.0
1.881 -2.484 0.000
1.881 2.484 0.000
0.000 0.000 8.146
Ta Co Pb
1 1 2
Cartesian
0.000 0.000 0.000
0.000 0.000 4.073
1.881 0.000 2.268
1.881 0.000 5.878



--- 2 ---
PBEsol TaCoPb2, relaxed; SG = C2/m (12)
1.0
5.293 -1.573 0.000
5.293 1.573 0.000
-2.645 0.000 4.599
Ta Co Pb
1 1 2
Cartesian
0.000 0.000 0.000
3.971 0.000 2.300
0.426 0.000 3.313
7.515 0.000 1.286



--- 3 ---
PBEsol TaCoPb2, relaxed; SG = I-4m2 (119)
1.0
-2.008 2.008 4.737
2.008 -2.008 4.737
2.008 2.008 -4.737
Ta Co Pb
1 1 2
Cartesian
0.000 0.000 0.000
0.000 2.008 2.369
2.008 0.000 2.369
0.000 0.000 4.737



Most stable = 1



--- 1 ---
PBEsol Co4Pt, relaxed; SG = Im-3m (229)
1.0
-2.708 2.708 2.708
2.708 -2.708 2.708
2.708 2.708 -2.708
Co Pt
4 1
Cartesian
1.354 1.354 -1.354
1.354 -1.354 1.354
-1.354 1.354 1.354
1.354 1.354 1.354
0.000 0.000 0.000



--- 2 ---
PBEsol Co4Pt, relaxed; SG = I4/m (87)
1.0
-2.825 2.825 1.784
2.825 -2.825 1.784
2.825 2.825 -1.784
Co Pt
4 1
Cartesian
3.913 0.534 0.000
0.534 1.738 0.000
2.291 1.088 1.784
-1.088 2.291 1.784
0.000 0.000 1.784



Most stable = 2



--- 1 ---
PBEsol CoRePt2, relaxed; SG = I-4m2 (119)
1.0
-1.887 1.887 3.814
1.887 -1.887 3.814
1.887 1.887 -3.814
Co Re Pt
1 1 2
Cartesian
0.000 0.000 0.000
1.887 0.000 1.907
0.000 0.000 3.814
0.000 1.887 1.907



--- 2 ---
PBEsol CoRePt2, relaxed; SG = P4/mmm (123)
1.0
2.684 0.000 0.000
0.000 2.684 0.000
0.000 0.000 7.542
Co Re Pt
1 1 2
Cartesian
0.000 0.000 0.000
0.000 0.000 3.771
1.342 1.342 1.816
1.342 1.342 5.726



--- 3 ---
PBEsol CoRePt2, relaxed; SG = P4/mmm (123)
1.0
4.637 0.000 0.000
0.000 4.637 0.000
0.000 0.000 2.661
Co Re Pt
1 1 2
Cartesian
0.000 0.000 0.000
2.319 2.319 0.000
0.000 2.319 1.331
2.319 0.000 1.331



Most stable = 1



--- 1 ---
PBEsol CoRePt, relaxed; SG = F-43m (216)
1.0
0.000 2.809 2.809
2.809 0.000 2.809
2.809 2.809 0.000
Co Re Pt
1 1 1
Cartesian
0.000 0.000 0.000
4.213 4.213 4.213
1.404 1.404 1.404



--- 2 ---
PBEsol CoRePt, relaxed; SG = Imm2 (44)
1.0
-1.329 1.851 3.998
1.329 -1.851 3.998
1.329 1.851 -3.998
Co Re Pt
1 1 1
Cartesian
0.000 0.000 0.000
0.000 0.000 2.815
0.000 0.000 5.391



Most stable = 2



--- 1 ---
PBEsol CoRePt, relaxed; SG = I4mm (107)
1.0
-1.340 1.340 5.513
1.340 -1.340 5.513
1.340 1.340 -5.513
Co Re Pt
1 1 1
Cartesian
0.000 0.000 0.000
0.000 0.000 3.895
0.000 0.000 7.417



--- 2 ---
PBEsol CoRePt, relaxed; SG = P3m1 (156)
1.0
2.687 0.000 0.000
-1.343 2.327 0.000
0.000 0.000 6.449
Co Re Pt
1 1 1
Cartesian
0.000 0.000 0.000
1.343 0.776 1.977
0.000 1.551 4.292



Most stable = 1



--- 1 ---
PBEsol CoPtRh, relaxed; SG = P3m1 (156)
1.0
2.667 0.000 0.000
-1.333 2.310 0.000
0.000 0.000 6.432
Co Pt Rh
1 1 1
Cartesian
0.000 0.000 0.000
0.000 1.540 4.320
1.333 0.770 1.996



--- 2 ---
PBEsol CoPtRh, relaxed; SG = Imm2 (44)
1.0
-1.330 1.839 4.016
1.330 -1.839 4.016
1.330 1.839 -4.016
Co Pt Rh
1 1 1
Cartesian
0.000 0.000 0.000
0.000 0.000 5.361
0.000 0.000 2.760



Most stable = 2



--- 1 ---
PBEsol CoPtSe2, relaxed; SG = R-3m (166)
1.0
1.646 0.950 7.363
-1.646 0.950 7.363
0.000 -1.900 7.363
Co Pt Se
1 1 2
Cartesian
0.000 0.000 0.000
0.000 0.000 11.045
0.000 0.000 8.678
0.000 0.000 13.412



--- 2 ---
PBEsol CoPtSe2, relaxed; SG = P4/mmm (123)
1.0
4.381 0.000 0.000
0.000 4.381 0.000
0.000 0.000 3.138
Co Pt Se
1 1 2
Cartesian
0.000 0.000 0.000
2.190 2.190 0.000
0.000 2.190 1.569
2.190 0.000 1.569



Most stable = 1



--- 1 ---
PBEsol TaCo2Pt, relaxed; SG = I-4m2 (119)
1.0
-1.851 1.851 3.809
1.851 -1.851 3.809
1.851 1.851 -3.809
Ta Co Pt
1 2 1
Cartesian
0.000 0.000 0.000
0.000 0.000 3.809
0.000 1.851 1.905
1.851 0.000 1.905



--- 2 ---
PBEsol TaCo2Pt, relaxed; SG = P4/mmm (123)
1.0
3.788 0.000 0.000
0.000 3.788 0.000
0.000 0.000 3.580
Ta Co Pt
1 2 1
Cartesian
0.000 0.000 0.000
0.000 1.894 1.790
1.894 0.000 1.790
1.894 1.894 0.000



--- 3 ---
PBEsol TaCo2Pt, relaxed; SG = P4mm (99)
1.0
2.743 0.000 0.000
0.000 2.743 0.000
0.000 0.000 7.050
Ta Co Pt
1 2 1
Cartesian
0.000 0.000 0.000
0.000 0.000 3.212
1.371 1.371 1.823
1.371 1.371 5.014



--- 4 ---
PBEsol TaCo2Pt, relaxed; SG = C2/m (12)
1.0
2.632 -4.285 0.000
2.632 4.285 0.000
-1.165 0.000 2.399
Ta Co Pt
1 2 1
Cartesian
0.000 0.000 0.000
0.733 2.142 1.199
0.733 -2.142 1.199
2.632 0.000 0.000



Most stable = 2